{
  "formula": "NdEuPtAu",
  "functional": "PBE",
  "state": "optimized geometry",
  "cell": [[0.000, 3.655, 3.655], [3.655, 0.000, 3.655], [3.655, 3.655, 0.000]],
  "species": ["Nd", "Eu", "Pt", "Au"],
  "frac_coords": [[0.000, 0.000, 0.000], [0.500, 0.500, 0.500], [0.750, 0.750, 0.750], [0.250, 0.250, 0.250]],
  "ef_mev_per_atom": -873,
  "total_magnetization_mub_per_cell": 7.065,
  "spacegroup": "F-43m"
}